Record 1
A geometry-optimized Tb4Pm9In11 structure, computed with PBE-GGA.

Structure (POSCAR):
```
Tb4Pm9In11
1.0
9.028 -10.688 0.000
9.028 10.688 0.000
0.000 0.000 3.534
Tb Pm In
4 9 11
direct
0.069 0.237 0.000 Tb
0.237 0.069 0.000 Tb
0.763 0.931 0.000 Tb
0.931 0.763 0.000 Tb
0.000 0.000 0.000 Pm
0.125 0.643 0.000 Pm
0.292 0.467 0.000 Pm
0.357 0.875 0.000 Pm
0.467 0.292 0.000 Pm
0.533 0.708 0.000 Pm
0.643 0.125 0.000 Pm
0.708 0.533 0.000 Pm
0.875 0.357 0.000 Pm
0.080 0.433 0.500 In
0.136 0.864 0.500 In
0.263 0.263 0.500 In
0.331 0.669 0.500 In
0.433 0.080 0.500 In
0.500 0.500 0.500 In
0.567 0.920 0.500 In
0.669 0.331 0.500 In
0.737 0.737 0.500 In
0.864 0.136 0.500 In
0.920 0.567 0.500 In
```

## Properties
The density of states at the Fermi level is 19.6 states/eV per cell. The formation energy comes out at -0.41 eV/atom. For the density, the calculation gives 7.801 g/cm3. For the volume, the calculation gives 28.4 Å³ per atom.


Record 2
A geometry-optimized Tb2Pm7In2 structure, computed with PBE-GGA.

Structure (POSCAR):
```
Tb2Pm7In2
1.0
-1.845 8.825 5.625
1.845 -8.825 5.625
1.845 8.825 -5.625
Tb Pm In
2 7 2
direct
0.224 0.000 0.224 Tb
0.776 0.000 0.776 Tb
0.085 0.735 0.350 Pm
0.385 0.735 0.650 Pm
0.405 0.511 0.895 Pm
0.584 0.261 0.323 Pm
0.616 0.511 0.105 Pm
0.938 0.261 0.677 Pm
0.948 0.948 0.000 Pm
0.254 0.254 0.000 In
0.705 0.205 0.500 In
```

## Properties
The density of states at the Fermi level is 13.2 states/eV per cell. The formation energy comes out at -0.04 eV/atom. For the density, the calculation gives 7.080 g/cm3. For the volume, the calculation gives 33.3 Å³ per atom.


Record 3
A geometry-optimized Tb3Pm3In structure, computed with PBE-GGA.

Structure (POSCAR):
```
Tb3Pm3In
1.0
13.489 0.000 0.000
0.000 5.233 0.000
0.000 0.000 12.832
Tb Pm In
12 12 4
direct
0.018 0.250 0.067 Tb
0.055 0.250 0.571 Tb
0.226 0.750 0.438 Tb
0.274 0.250 0.938 Tb
0.445 0.750 0.071 Tb
0.482 0.750 0.567 Tb
0.518 0.250 0.433 Tb
0.555 0.250 0.929 Tb
0.726 0.750 0.062 Tb
0.774 0.250 0.562 Tb
0.945 0.750 0.429 Tb
0.982 0.750 0.933 Tb
0.087 0.250 0.308 Pm
0.178 0.750 0.728 Pm
0.187 0.750 0.120 Pm
0.313 0.250 0.620 Pm
0.322 0.250 0.228 Pm
0.413 0.750 0.808 Pm
0.587 0.250 0.192 Pm
0.678 0.750 0.772 Pm
0.687 0.750 0.380 Pm
0.813 0.250 0.880 Pm
0.822 0.250 0.272 Pm
0.913 0.750 0.692 Pm
0.053 0.250 0.816 In
0.447 0.750 0.316 In
0.553 0.250 0.684 In
0.947 0.750 0.184 In
```

## Properties
The density of states at the Fermi level is 41.8 states/eV per cell. The calculation puts the energy above the most stable polymorph in this dataset at 0.087 eV per atom. The formation energy comes out at -0.02 eV/atom. For the density, the calculation gives 7.528 g/cm3. For the volume, the calculation gives 32.4 Å³ per atom.


Record 4
A geometry-optimized Tb8Pm3In4 structure, computed with PBE-GGA.

Structure (POSCAR):
```
Tb8Pm3In4
1.0
6.488 -6.377 0.000
6.488 6.377 0.000
-3.284 0.000 5.758
Tb Pm In
8 3 4
direct
0.142 0.858 0.000 Tb
0.228 0.228 0.973 Tb
0.238 0.762 0.500 Tb
0.239 0.239 0.490 Tb
0.761 0.761 0.510 Tb
0.762 0.238 0.500 Tb
0.772 0.772 0.027 Tb
0.858 0.142 0.000 Tb
0.000 0.500 0.000 Pm
0.500 0.000 0.000 Pm
0.500 0.500 0.500 Pm
0.000 0.000 0.500 In
0.000 0.500 0.500 In
0.500 0.000 0.500 In
0.500 0.500 0.000 In
```

## Properties
The density of states at the Fermi level is 19.2 states/eV per cell. The formation energy comes out at 0.06 eV/atom. For the density, the calculation gives 7.547 g/cm3. For the volume, the calculation gives 31.8 Å³ per atom.


Record 5
A geometry-optimized TbPmIn4 structure, computed with PBE-GGA.

Structure (POSCAR):
```
TbPmIn4
1.0
4.722 0.000 0.000
0.000 7.400 0.000
0.000 0.000 9.125
Tb Pm In
2 2 8
direct
0.000 0.000 0.000 Tb
0.500 0.500 0.500 Tb
0.000 0.500 0.113 Pm
0.500 0.000 0.613 Pm
0.000 0.210 0.400 In
0.000 0.295 0.718 In
0.000 0.705 0.718 In
0.000 0.790 0.400 In
0.500 0.205 0.218 In
0.500 0.290 0.900 In
0.500 0.710 0.900 In
0.500 0.795 0.218 In
```

## Properties
The density of states at the Fermi level is 8.2 states/eV per cell. The calculation puts the energy above the most stable polymorph in this dataset at 0.000 eV per atom. The formation energy comes out at -0.44 eV/atom. For the density, the calculation gives 7.950 g/cm3. For the volume, the calculation gives 26.6 Å³ per atom.


Record 6
A geometry-optimized Tb5Pm8In structure, computed with PBE-GGA.

Structure (POSCAR):
```
Tb5Pm8In
1.0
7.755 -4.211 0.000
7.755 4.211 0.000
-4.459 0.000 7.239
Tb Pm In
5 8 1
direct
0.000 0.000 0.000 Tb
0.228 0.573 0.047 Tb
0.427 0.772 0.953 Tb
0.610 0.295 0.727 Tb
0.705 0.390 0.273 Tb
0.071 0.564 0.583 Pm
0.080 0.167 0.680 Pm
0.373 0.274 0.280 Pm
0.436 0.929 0.417 Pm
0.544 0.086 0.929 Pm
0.726 0.627 0.720 Pm
0.833 0.920 0.320 Pm
0.914 0.456 0.071 Pm
0.296 0.704 0.500 In
```

## Properties
The density of states at the Fermi level is 20.7 states/eV per cell. The formation energy comes out at 0.10 eV/atom. For the density, the calculation gives 7.268 g/cm3. For the volume, the calculation gives 33.8 Å³ per atom.